Record 1
Compound: BaSr2Sn6
Source: Alexandria
Functional: PBE
Structure: optimized geometry

Summary:
raw total energy	-33.347	eV/f.u.
formation energy from the elements	-390	kJ/mol of formula units
symmetry	P6/mmm, No. 191

Unit cell a=8.782 b=8.782 c=4.663 alpha=90.00 beta=90.00 gamma=120.00
Element x y z (fractional)
1 Ba 0.000 0.000 0.000
2 Sr 0.333 0.667 0.000
3 Sr 0.667 0.333 0.000
4 Sn 0.000 0.335 0.500
5 Sn 0.000 0.665 0.500
6 Sn 0.335 0.000 0.500
7 Sn 0.335 0.335 0.500
8 Sn 0.665 0.000 0.500
9 Sn 0.665 0.665 0.500

Record 2
Compound: KCa2La2
Source: Alexandria
Functional: PBE
Structure: optimized geometry

Summary:
raw total energy	-13.638	eV/f.u.
formation energy from the elements	127	kJ/mol of formula units
symmetry	P4/mbm, No. 127
relative energy among the computed polymorphs	0	meV per atom

Unit cell a=10.835 b=10.835 c=3.894 alpha=90.00 beta=90.00 gamma=90.00
Element x y z (fractional)
1 K 0.000 0.000 0.000
2 K 0.500 0.500 0.000
3 Ca 0.183 0.317 0.500
4 Ca 0.317 0.817 0.500
5 Ca 0.683 0.183 0.500
6 Ca 0.817 0.683 0.500
7 La 0.102 0.602 0.000
8 La 0.398 0.102 0.000
9 La 0.602 0.898 0.000
10 La 0.898 0.398 0.000

Record 3
Compound: SiHS3
Source: Alexandria
Functional: PBE
Structure: optimized geometry

Summary:
raw total energy	-21.894	eV/f.u.
symmetry	P1, No. 1
relative energy among the computed polymorphs	0	meV per atom

Unit cell a=3.307 b=5.937 c=6.370 alpha=67.25 beta=88.83 gamma=83.65
Element x y z (fractional)
1 Si 0.000 0.000 0.000
2 H 0.358 0.741 0.395
3 S 0.033 0.678 0.311
4 S 0.405 0.261 0.011
5 S 0.556 0.952 0.776

Record 4
Compound: IrPtPbO6
Source: Alexandria
Functional: PBE
Structure: optimized geometry

Summary:
raw total energy	-53.963	eV/f.u.
symmetry	Imma, No. 74

Unit cell a=7.117 b=7.117 c=7.117 alpha=120.99 beta=119.27 gamma=89.78
Element x y z (fractional)
1 Ir 0.000 0.000 0.000
2 Ir 0.500 0.000 0.500
3 Pt 0.500 0.000 0.000
4 Pt 0.500 0.500 0.500
5 Pb 0.168 0.418 0.750
6 Pb 0.832 0.582 0.250
7 O 0.164 0.331 0.246
8 O 0.164 0.918 0.834
9 O 0.183 0.933 0.250
10 O 0.402 0.652 0.750
11 O 0.415 0.082 0.746
12 O 0.415 0.669 0.334
13 O 0.585 0.331 0.666
14 O 0.585 0.918 0.254
15 O 0.598 0.348 0.250
16 O 0.817 0.067 0.750
17 O 0.836 0.082 0.166
18 O 0.836 0.669 0.754

Record 5
Compound: AcEuLu
Source: Alexandria
Functional: PBE
Structure: optimized geometry

Summary:
raw total energy	-18.666	eV/f.u.
formation energy from the elements	23	kJ/mol of formula units
symmetry	I4mm, No. 107
relative energy among the computed polymorphs	0	meV per atom

Unit cell a=3.864 b=3.864 c=15.334 alpha=90.00 beta=90.00 gamma=90.00
Element x y z (fractional)
1 Ac 0.000 0.000 0.000
2 Ac 0.500 0.500 0.500
3 Eu 0.000 0.000 0.685
4 Eu 0.500 0.500 0.185
5 Lu 0.000 0.000 0.344
6 Lu 0.500 0.500 0.844

Record 6
Compound: SrCa4Tl
Source: Alexandria
Functional: PBE
Structure: optimized geometry

Summary:
raw total energy	-11.340	eV/f.u.
formation energy from the elements	69	kJ/mol of formula units
symmetry	F-43m, No. 216
relative energy among the computed polymorphs	260	meV per atom

Unit cell a=7.137 b=7.137 c=7.137 alpha=60.00 beta=60.00 gamma=60.00
Element x y z (fractional)
1 Sr 0.000 0.000 0.000
2 Ca 0.376 0.376 0.376
3 Ca 0.376 0.376 0.873
4 Ca 0.376 0.873 0.376
5 Ca 0.873 0.376 0.376
6 Tl 0.750 0.750 0.750

Record 7
Compound: H2IF
Source: Alexandria
Functional: PBE
Structure: optimized geometry

Summary:
raw total energy	-9.889	eV/f.u.
symmetry	I-42d, No. 122
relative energy among the computed polymorphs	804	meV per atom

Unit cell a=4.372 b=4.372 c=11.371 alpha=90.00 beta=90.00 gamma=90.00
Element x y z (fractional)
1 H 0.170 0.250 0.125
2 H 0.250 0.670 0.375
3 H 0.250 0.830 0.875
4 H 0.330 0.250 0.625
5 H 0.670 0.750 0.625
6 H 0.750 0.170 0.875
7 H 0.750 0.330 0.375
8 H 0.830 0.750 0.125
9 I 0.000 0.000 0.000
10 I 0.000 0.500 0.250
11 I 0.500 0.000 0.750
12 I 0.500 0.500 0.500
13 F 0.000 0.000 0.500
14 F 0.000 0.500 0.750
15 F 0.500 0.000 0.250
16 F 0.500 0.500 0.000

Record 8
Compound: CaCe3P4
Source: Alexandria
Functional: PBE
Structure: optimized geometry

Summary:
raw total energy	-52.626	eV/f.u.
formation energy from the elements	-1079	kJ/mol of formula units
symmetry	Cmmm, No. 65

Unit cell a=8.203 b=11.608 c=4.115 alpha=90.00 beta=90.00 gamma=90.00
Element x y z (fractional)
1 Ca 0.000 0.000 0.000
2 Ca 0.500 0.500 0.000
3 Ce 0.000 0.500 0.000
4 Ce 0.250 0.250 0.500
5 Ce 0.250 0.750 0.500
6 Ce 0.500 0.000 0.000
7 Ce 0.750 0.250 0.500
8 Ce 0.750 0.750 0.500
9 P 0.000 0.253 0.000
10 P 0.000 0.747 0.000
11 P 0.241 0.500 0.500
12 P 0.259 0.000 0.500
13 P 0.500 0.247 0.000
14 P 0.500 0.753 0.000
15 P 0.741 0.000 0.500
16 P 0.759 0.500 0.500

Record 9
Compound: Dy7Co2Pd2
Source: Alexandria
Functional: PBE
Structure: optimized geometry

Summary:
raw total energy	-59.949	eV/f.u.
formation energy from the elements	-303	kJ/mol of formula units
symmetry	Cmmm, No. 65

Unit cell a=6.553 b=6.553 c=6.741 alpha=90.00 beta=90.00 gamma=109.12
Element x y z (fractional)
1 Dy 0.000 0.000 0.000
2 Dy 0.000 0.500 0.255
3 Dy 0.000 0.500 0.745
4 Dy 0.500 0.000 0.255
5 Dy 0.500 0.000 0.745
6 Dy 0.500 0.500 0.248
7 Dy 0.500 0.500 0.752
8 Co 0.291 0.709 0.000
9 Co 0.709 0.291 0.000
10 Pd 0.186 0.186 0.500
11 Pd 0.814 0.814 0.500

Record 10
Compound: Cr2CoSi
Source: Alexandria
Functional: PBE
Structure: optimized geometry

Summary:
raw total energy	-32.825	eV/f.u.
symmetry	Pmmm, No. 47

Unit cell a=2.953 b=3.814 c=4.048 alpha=90.00 beta=90.00 gamma=90.00
Element x y z (fractional)
1 Cr 0.000 0.000 0.000
2 Cr 0.500 0.500 0.000
3 Co 0.000 0.500 0.500
4 Si 0.500 0.000 0.500

Record 11
Compound: AlMoIr2
Source: Alexandria
Functional: PBE
Structure: optimized geometry

Summary:
raw total energy	-33.918	eV/f.u.
formation energy from the elements	-156	kJ/mol of formula units
symmetry	Cm, No. 8
relative energy among the computed polymorphs	207	meV per atom

Unit cell a=9.170 b=2.820 c=4.662 alpha=90.00 beta=99.64 gamma=90.00
Element x y z (fractional)
1 Al 0.000 0.000 0.000
2 Al 0.500 0.500 0.000
3 Mo 0.237 0.000 0.677
4 Mo 0.737 0.500 0.677
5 Ir 0.243 0.500 0.172
6 Ir 0.492 0.000 0.495
7 Ir 0.743 0.000 0.172
8 Ir 0.992 0.500 0.495

Record 12
Compound: UCuSbPd
Source: Alexandria
Functional: PBE
Structure: optimized geometry

Summary:
raw total energy	-25.456	eV/f.u.
symmetry	F-43m, No. 216

Unit cell a=6.774 b=6.774 c=6.774 alpha=90.00 beta=90.00 gamma=90.00
Element x y z (fractional)
1 U 0.000 0.000 0.000
2 U 0.000 0.500 0.500
3 U 0.500 0.000 0.500
4 U 0.500 0.500 0.000
5 Cu 0.250 0.250 0.750
6 Cu 0.250 0.750 0.250
7 Cu 0.750 0.250 0.250
8 Cu 0.750 0.750 0.750
9 Sb 0.000 0.000 0.500
10 Sb 0.000 0.500 0.000
11 Sb 0.500 0.000 0.000
12 Sb 0.500 0.500 0.500
13 Pd 0.250 0.250 0.250
14 Pd 0.250 0.750 0.750
15 Pd 0.750 0.250 0.750
16 Pd 0.750 0.750 0.250